Entry 1:
LiReAg2: PBEsol geometry, meta-GGA SCAN.

Cell lengths 2.648, 2.648, 8.722 Å; angles 90.00, 90.00, 90.00 degrees
Element x y z (fractional)
1 Li 0.000 0.000 0.000
2 Re 0.000 0.000 0.500
3 Ag 0.500 0.500 0.246
4 Ag 0.500 0.500 0.754

Computed properties:
As for the energy of formation: 0.336 eV/atom. As for the space group: No. 123. Its density of states at the Fermi level is 1.19 states/eV per cell.

***

Entry 2:
MoAsAu2: PBEsol geometry, meta-GGA SCAN.

Cell lengths 2.798, 4.650, 5.254 Å; angles 90.00, 104.70, 90.00 degrees
Element x y z (fractional)
1 Mo 0.000 0.000 0.000
2 As 0.000 0.000 0.500
3 Au 0.359 0.500 0.745
4 Au 0.641 0.500 0.255

Computed properties:
As for the energy of formation: 0.304 eV/atom. As for the space group: No. 10. Its density of states at the Fermi level is 2.68 states/eV per cell.

***

Entry 3:
Cr2ReTc: PBEsol geometry, meta-GGA SCAN.

Cell lengths 2.924, 4.178, 8.361 Å; angles 90.00, 90.00, 90.00 degrees
Element x y z (fractional)
1 Cr 0.000 0.000 0.000
2 Cr 0.000 0.500 0.280
3 Cr 0.500 0.000 0.780
4 Cr 0.500 0.500 0.500
5 Re 0.000 0.500 0.756
6 Re 0.500 0.000 0.256
7 Tc 0.000 0.000 0.523
8 Tc 0.500 0.500 0.023

Computed properties:
As for the energy of formation: -0.012 eV/atom. As for the space group: No. 44. Its density of states at the Fermi level is 6.63 states/eV per cell.

***

Entry 4:
Y2ReO5: PBEsol geometry, meta-GGA SCAN.

Cell lengths 8.445, 8.445, 5.590 Å; angles 90.00, 90.00, 90.00 degrees
Element x y z (fractional)
1 Y 0.101 0.891 0.250
2 Y 0.109 0.601 0.750
3 Y 0.391 0.899 0.750
4 Y 0.399 0.609 0.250
5 Y 0.601 0.391 0.750
6 Y 0.609 0.101 0.250
7 Y 0.891 0.399 0.250
8 Y 0.899 0.109 0.750
9 Re 0.250 0.250 0.146
10 Re 0.250 0.250 0.547
11 Re 0.750 0.750 0.453
12 Re 0.750 0.750 0.854
13 O 0.046 0.154 0.096
14 O 0.046 0.344 0.605
15 O 0.154 0.454 0.096
16 O 0.156 0.046 0.605
17 O 0.250 0.750 0.000
18 O 0.250 0.750 0.500
19 O 0.344 0.454 0.605
20 O 0.346 0.046 0.096
21 O 0.454 0.156 0.605
22 O 0.454 0.346 0.096
23 O 0.546 0.654 0.904
24 O 0.546 0.844 0.395
25 O 0.654 0.954 0.904
26 O 0.656 0.546 0.395
27 O 0.750 0.250 0.000
28 O 0.750 0.250 0.500
29 O 0.844 0.954 0.395
30 O 0.846 0.546 0.904
31 O 0.954 0.656 0.395
32 O 0.954 0.846 0.904

Computed properties:
The calculation puts the formation energy from raw total energies at -3.08 eV/atom. As for the space group: No. 85.

***

Number 1: calculated total energy -33.72 eV/atom. Number 2: calculated total energy -48.04 eV/atom. Number 3: calculated total energy -35.74 eV/atom. Number 4: calculated total energy -22.82 eV/atom.